# HoAg2AsO4 (PBE-GGA, optimized geometry)
data_HoAg2AsO4
_chemical_formula_sum 'Ho1 Ag2 As1 O4'
_cell_length_a 6.020
_cell_length_b 6.020
_cell_length_c 6.020
_cell_angle_alpha 87.53
_cell_angle_beta 121.43
_cell_angle_gamma 121.43
_symmetry_space_group_name_H-M 'P 1'
_symmetry_Int_Tables_number 1
_symmetry_space_group_name_Hall 'P 1'
loop_
_atom_site_label
_atom_site_type_symbol
_atom_site_fract_x
_atom_site_fract_y
_atom_site_fract_z
O1 O 0.110 0.282 0.599
O2 O 0.890 0.489 0.172
O3 O 0.683 0.401 0.511
O4 O 0.317 0.828 0.718
Ag1 Ag 0.500 0.750 0.250
Ag2 Ag 0.000 0.000 0.000
Ho1 Ho 0.500 0.250 0.750
As1 As 0.000 0.500 0.500
# **Volume**: 18.8 A^3/atom
# **ΔE_f (raw)**: -1.22 eV/atom
# **SG**: I-4, No. 82
# **Total magnetization**: 0.0 μB/f.u.


# Y3Os (PBE-GGA, optimized geometry)
data_Y3Os
_chemical_formula_sum 'Y6 Os2'
_cell_length_a 5.795
_cell_length_b 5.795
_cell_length_c 5.795
_cell_angle_alpha 90.00
_cell_angle_beta 90.00
_cell_angle_gamma 90.00
_symmetry_space_group_name_H-M 'P 1'
_symmetry_Int_Tables_number 1
_symmetry_space_group_name_Hall 'P 1'
loop_
_atom_site_label
_atom_site_type_symbol
_atom_site_fract_x
_atom_site_fract_y
_atom_site_fract_z
Os1 Os 0.500 0.500 0.500
Os2 Os 0.000 0.000 0.000
Y1 Y 0.250 0.500 0.000
Y2 Y 0.750 0.500 0.000
Y3 Y 0.500 0.000 0.250
Y4 Y 0.000 0.750 0.500
Y5 Y 0.500 0.000 0.750
Y6 Y 0.000 0.250 0.500
# **Volume**: 24.3 A^3/atom
# **Energy of formation**: 0.254 eV per atom
# **SG**: Pm-3n, No. 223
# **Total magnetization**: 0.6 μB/f.u.